# 1
A plane-wave DFT calculation with PBE was carried out for an optimized crystal structure of LiPa2AlN5.

Computed properties:
spin magnetization: 0.00 μB/cell
formation energy from raw total energies: -1.162 eV per atom
DOS at the Fermi energy: 0.5127 states/eV/atom

Cell lengths 3.4318, 13.0433, 9.2930 Å; angles 90.00, 90.00, 90.00 degrees
Last column: nearest neighbours and their distance in Å.
Space group Cmc2_1 (No. 36)
One atom of each set of equivalent atoms:
Li1 0.0000 0.2128 0.0000 [4 per cell]  4 N 2.04-2.25
Pa1 0.0000 0.1216 0.6911 [4 per cell]  5 N 2.25-2.40
Pa2 0.0000 0.1365 0.2978 [4 per cell]  6 N 2.24-2.50
Al1 0.0000 0.4521 0.4795 [4 per cell]  3 N 1.86-1.91
N1 0.0000 0.0498 0.0575 [4 per cell]  2 Al 1.86
N2 0.0000 0.2938 0.6769 [4 per cell]  3 Pa 2.24-2.25, 2 Li 2.38
N3 0.0000 0.3150 0.3479 [4 per cell]  1 Al 2.17, 2 Li 2.25, 3 Pa 2.38-2.40
N4 0.0000 0.3686 0.0151 [4 per cell]  1 Li 2.04
N5 0.0000 0.4956 0.7872 [4 per cell]  1 Al 1.91

=====

# 2
A plane-wave DFT calculation with PBE was carried out for an optimized crystal structure of Dy2ThOs.

Computed properties:
spin magnetization: 0.00 μB/cell
energy relative to the lowest polymorph listed for this composition: 0.00 eV/f.u.
formation energy from the elements: -269 meV per atom
DOS at the Fermi energy: 0.9466 states/eV/atom

Cell lengths 7.3236, 9.4726, 6.3992 Å; angles 90.00, 90.00, 90.00 degrees
Last column: nearest neighbours and their distance in Å.
Space group Pnma (No. 62)
One atom of each set of equivalent atoms:
Dy1 0.1734 0.0665 0.1670 [8 per cell]  2 Os 2.93-2.95
Th1 0.0452 0.2500 0.6508 [4 per cell]  2 Os 2.68-2.79
Os1 0.1287 0.7500 0.9617 [4 per cell]  2 Th 2.68-2.79, 4 Dy 2.93-2.95

=====

# 3
A plane-wave DFT calculation with PBE was carried out for an optimized crystal structure of SnSb2Br.

Computed properties:
spin magnetization: 0.00 μB/cell
energy relative to the lowest polymorph listed for this composition: 0.50 eV/f.u.
formation energy from raw total energies: 0.253 eV per atom
DOS at the Fermi energy: 0.8708 states/eV/atom

Cell lengths 7.5769, 7.5769, 10.9219 Å; angles 90.00, 90.00, 90.00 degrees
Last column: nearest neighbours and their distance in Å.
Space group I-42d (No. 122)
One atom of each set of equivalent atoms:
Sn1 0.0000 0.0000 0.0000 [4 per cell]  4 Sb 2.90
Sb1 0.2281 0.2500 0.1250 [8 per cell]  2 Sn 2.90, 2 Br 3.11
Br1 0.0000 0.0000 0.5000 [4 per cell]  4 Sb 3.11

=====

# 4
A plane-wave DFT calculation with PBE was carried out for an optimized crystal structure of ScMoRu.

Computed properties:
spin magnetization: 0.00 μB/cell
energy relative to the lowest polymorph listed for this composition: 0.78 eV/f.u.
formation energy from the elements: 68 meV per atom
DOS at the Fermi energy: 1.0086 states/eV/atom

Cell lengths 3.2384, 4.6371, 13.2261 Å; angles 90.00, 90.00, 90.00 degrees
Last column: nearest neighbours and their distance in Å.
Space group Fmm2 (No. 42)
One atom of each set of equivalent atoms:
Sc1 0.0000 0.0000 0.0000 [4 per cell]  2 Ru 2.68, 4 Sc 2.83, 2 Mo 2.92
Mo1 0.0000 0.0000 0.6833 [4 per cell]  2 Ru 2.62, 4 Mo 2.83, 2 Sc 2.92
Ru1 0.0000 0.0000 0.3386 [4 per cell]  2 Mo 2.62, 2 Sc 2.68, 4 Ru 2.83

=====

# 5
A plane-wave DFT calculation with PBE was carried out for an optimized crystal structure of Nd2HoErSc4.

Computed properties:
spin magnetization: 0.00 μB/cell
formation energy from the elements: 65 meV per atom
DOS at the Fermi energy: 1.3810 states/eV/atom

Cell lengths 5.9627, 3.4469, 11.1989 Å; angles 90.00, 100.10, 90.00 degrees
Last column: nearest neighbours and their distance in Å.
Space group P2/m (No. 10)
One atom of each set of equivalent atoms:
Nd1 0.0000 0.0000 0.0000 [1 per cell]  6 Sc 3.40, 4 Er 3.44, 2 Nd 3.45
Nd2 0.0000 0.5000 0.5000 [1 per cell]  6 Sc 3.40-3.41, 4 Ho 3.44, 2 Nd 3.45
Ho1 0.5000 0.0000 0.5000 [1 per cell]  6 Sc 3.39-3.40, 4 Nd 3.44, 2 Ho 3.45
Er1 0.5000 0.5000 0.0000 [1 per cell]  6 Sc 3.39, 4 Nd 3.44, 2 Er 3.45
Sc1 0.2515 0.0000 0.7504 [2 per cell]  1 Ho 3.39, 2 Er 3.39, 3 Nd 3.40-3.41, 6 Sc 3.43-3.46
Sc2 0.2519 0.5000 0.2500 [2 per cell]  1 Er 3.39, 2 Ho 3.40, 3 Nd 3.40, 6 Sc 3.43-3.46

=====

# 6
A plane-wave DFT calculation with PBE was carried out for an optimized crystal structure of Li2AgBi.

Computed properties:
spin magnetization: 0.00 μB/cell
energy relative to the lowest polymorph listed for this composition: 0.19 eV/f.u.
formation energy from the elements: -298 meV per atom
DOS at the Fermi energy: 0.3415 states/eV/atom

Cell lengths 4.3694, 4.3694, 4.1178 Å; angles 90.00, 90.00, 90.00 degrees
Last column: nearest neighbours and their distance in Å.
Space group P4/mmm (No. 123)
One atom of each set of equivalent atoms:
Li1 0.0000 0.5000 0.0000 [2 per cell]  4 Bi 3.00, 4 Ag 3.00, 4 Li 3.09
Ag1 0.0000 0.0000 0.5000 [1 per cell]  8 Li 3.00, 4 Bi 3.09
Bi1 0.5000 0.5000 0.5000 [1 per cell]  8 Li 3.00, 4 Ag 3.09